No. 1
{"formula": "Er3IrAu", "functional": "PBE", "state": "optimized geometry", "e_tot_ev_per_cell": -59.19, "formation_enthalpy_0k_ev_per_atom": -0.7535, "total_magnetization_mub_per_cell": 0.000, "spacegroup": "No. 59", "vol_a3_per_atom": 25.31, "dos_ef_per_ev_cell": 5.55, "cell": [[-0.1063, 1.1350, -4.0959], [1.4043, -6.4898, -1.8348], [-8.4563, -1.7543, -0.2667]], "species": ["Er", "Er", "Er", "Er", "Er", "Er", "Ir", "Ir", "Au", "Au"], "frac_coords": [[0.7500, 0.7500, 0.0625], [0.2500, 0.2500, 0.9375], [0.7500, 0.9944, 0.6609], [0.7500, 0.5056, 0.6609], [0.2500, 0.0056, 0.3391], [0.2500, 0.4944, 0.3391], [0.7500, 0.7500, 0.3900], [0.2500, 0.2500, 0.6100], [0.7500, 0.2500, 0.1646], [0.2500, 0.7500, 0.8354]]}


No. 2
{"formula": "Er5IrAu4", "functional": "PBE", "state": "optimized geometry", "e_tot_ev_per_cell": -53.61, "formation_enthalpy_0k_ev_per_atom": -0.8829, "total_magnetization_mub_per_cell": 0.000, "spacegroup": "No. 123", "vol_a3_per_atom": 22.09, "dos_ef_per_ev_cell": 6.16, "cell": [[-0.9105, -3.4061, -0.1062], [0.9873, -0.3689, 3.3661], [-16.4200, 4.2245, 5.2791]], "species": ["Er", "Er", "Er", "Er", "Er", "Ir", "Au", "Au", "Au", "Au"], "frac_coords": [[0.5000, 0.5000, 0.0908], [0.5000, 0.5000, 0.2952], [0.5000, 0.5000, 0.5000], [0.5000, 0.5000, 0.7048], [0.5000, 0.5000, 0.9092], [0.0000, 0.0000, 0.0000], [0.0000, 0.0000, 0.1960], [0.0000, 0.0000, 0.3993], [0.0000, 0.0000, 0.6007], [0.0000, 0.0000, 0.8040]]}


No. 3
{"formula": "Er8Ir3Au2", "functional": "PBE", "state": "optimized geometry", "e_tot_ev_per_cell": -78.96, "formation_enthalpy_0k_ev_per_atom": -0.7168, "total_magnetization_mub_per_cell": 0.000, "spacegroup": "No. 10", "vol_a3_per_atom": 25.11, "dos_ef_per_ev_cell": 12.71, "cell": [[4.8281, 0.0000, 0.0000], [0.0000, 8.4467, -4.8443], [0.0000, -0.7593, 8.4384]], "species": ["Er", "Er", "Er", "Er", "Er", "Er", "Er", "Er", "Ir", "Ir", "Ir", "Au", "Au"], "frac_coords": [[0.0000, 0.6170, 0.2339], [0.0000, 0.3830, 0.7661], [0.0000, 0.1197, 0.2394], [0.0000, 0.8803, 0.7606], [0.5000, 0.6340, 0.7628], [0.5000, 0.1290, 0.7631], [0.5000, 0.8710, 0.2369], [0.5000, 0.3660, 0.2372], [0.5000, 0.0000, 0.0000], [0.0000, 0.2518, 0.0003], [0.0000, 0.7482, 0.9997], [0.5000, 0.2562, 0.5124], [0.5000, 0.7438, 0.4876]]}


No. 4
{"formula": "Er6Ir5Au", "functional": "PBE", "state": "optimized geometry", "e_tot_ev_per_cell": -85.57, "formation_enthalpy_0k_ev_per_atom": -0.8838, "total_magnetization_mub_per_cell": 0.000, "spacegroup": "No. 71", "vol_a3_per_atom": 20.07, "dos_ef_per_ev_cell": 6.08, "cell": [[4.7057, -0.0041, -1.3191], [-3.5374, 6.7555, -3.5872], [-0.1960, -1.0677, 8.3571]], "species": ["Ir", "Ir", "Ir", "Ir", "Ir", "Au", "Er", "Er", "Er", "Er", "Er", "Er"], "frac_coords": [[0.5000, 0.1664, 0.8336], [0.0000, 0.3340, 0.6660], [0.5000, 0.5000, 0.5000], [0.0000, 0.6660, 0.3340], [0.5000, 0.8336, 0.1664], [0.0000, 0.0000, 0.0000], [0.2528, 0.0831, 0.4224], [0.7472, 0.5776, 0.9169], [0.7563, 0.2563, 0.2563], [0.2437, 0.7437, 0.7437], [0.2528, 0.4224, 0.0831], [0.7472, 0.9169, 0.5776]]}


No. 5
{"formula": "Er5Ir4Au", "functional": "PBE", "state": "optimized geometry", "e_tot_ev_per_cell": -70.34, "formation_enthalpy_0k_ev_per_atom": -0.8804, "total_magnetization_mub_per_cell": 0.205, "spacegroup": "No. 123", "vol_a3_per_atom": 20.25, "dos_ef_per_ev_cell": 8.99, "cell": [[3.3995, 0.0000, 0.0000], [0.0000, 3.3995, 0.0000], [0.0000, 0.0000, 17.5266]], "species": ["Er", "Er", "Er", "Er", "Er", "Ir", "Ir", "Ir", "Ir", "Au"], "frac_coords": [[0.5000, 0.5000, 0.1123], [0.5000, 0.5000, 0.3056], [0.5000, 0.5000, 0.5000], [0.5000, 0.5000, 0.6944], [0.5000, 0.5000, 0.8877], [0.0000, 0.0000, 0.2060], [0.0000, 0.0000, 0.4024], [0.0000, 0.0000, 0.5976], [0.0000, 0.0000, 0.7940], [0.0000, 0.0000, 0.0000]]}


No. 6
{"formula": "Er8IrAu2", "functional": "PBE", "state": "optimized geometry", "e_tot_ev_per_cell": -57.05, "formation_enthalpy_0k_ev_per_atom": -0.4665, "total_magnetization_mub_per_cell": 0.000, "spacegroup": "No. 8", "vol_a3_per_atom": 26.98, "dos_ef_per_ev_cell": 9.41, "cell": [[-2.2933, 4.8159, -1.5172], [-3.6931, -5.7326, -6.5866], [-0.3395, 0.9105, 9.4309]], "species": ["Ir", "Au", "Au", "Er", "Er", "Er", "Er", "Er", "Er", "Er", "Er"], "frac_coords": [[0.4523, 0.0044, 0.0044], [0.4549, 0.7500, 0.2568], [0.4549, 0.2568, 0.7500], [0.5907, 0.4183, 0.1866], [0.5907, 0.1866, 0.4183], [0.0455, 0.2545, 0.2545], [0.9544, 0.2011, 0.8032], [0.9544, 0.8032, 0.2011], [0.8626, 0.7495, 0.7495], [0.3197, 0.8201, 0.5894], [0.3197, 0.5894, 0.8201]]}


No. 7
{"formula": "LaErIrAu", "functional": "PBE", "state": "optimized geometry", "e_tot_ev_per_cell": -24.59, "formation_enthalpy_0k_ev_per_atom": -0.7392, "total_magnetization_mub_per_cell": 0.000, "spacegroup": "No. 216", "vol_a3_per_atom": 23.09, "dos_ef_per_ev_cell": 3.09, "cell": [[-2.4056, -1.1756, -4.3101], [-3.5101, -3.6639, -0.0283], [-4.9000, 1.1853, -0.5751]], "species": ["Ir", "Au", "La", "Er"], "frac_coords": [[0.5000, 0.5000, 0.5000], [0.0000, 0.0000, 0.0000], [0.2500, 0.2500, 0.2500], [0.7500, 0.7500, 0.7500]]}


No. 8
{"formula": "LiErIrAu", "functional": "PBE", "state": "optimized geometry", "e_tot_ev_per_cell": -20.80, "formation_enthalpy_0k_ev_per_atom": -0.5464, "total_magnetization_mub_per_cell": 0.000, "spacegroup": "No. 216", "vol_a3_per_atom": 18.16, "dos_ef_per_ev_cell": 0.13, "cell": [[-2.4754, 3.7570, 1.3008], [-4.6454, 0.0635, -0.5924], [-2.8382, -0.2381, 3.7178]], "species": ["Ir", "Au", "Li", "Er"], "frac_coords": [[0.5000, 0.5000, 0.5000], [0.0000, 0.0000, 0.0000], [0.2500, 0.2500, 0.2500], [0.7500, 0.7500, 0.7500]]}


No. 9
{"formula": "ErLuIrAu", "functional": "PBE", "state": "optimized geometry", "e_tot_ev_per_cell": -24.77, "formation_enthalpy_0k_ev_per_atom": -0.8861, "total_magnetization_mub_per_cell": 0.000, "spacegroup": "No. 216", "vol_a3_per_atom": 20.73, "dos_ef_per_ev_cell": 3.28, "cell": [[4.8947, 0.0000, 0.0000], [2.4474, 4.2390, 0.0000], [2.4474, 1.4130, 3.9965]], "species": ["Ir", "Au", "Lu", "Er"], "frac_coords": [[0.5000, 0.5000, 0.5000], [0.0000, 0.0000, 0.0000], [0.2500, 0.2500, 0.2500], [0.7500, 0.7500, 0.7500]]}


No. 10
{"formula": "ErMgIrAu", "functional": "PBE", "state": "optimized geometry", "e_tot_ev_per_cell": -20.89, "formation_enthalpy_0k_ev_per_atom": -0.6490, "total_magnetization_mub_per_cell": 0.000, "spacegroup": "No. 216", "vol_a3_per_atom": 19.05, "dos_ef_per_ev_cell": 2.79, "cell": [[4.7586, 0.0000, 0.0000], [2.3793, 4.1211, 0.0000], [2.3793, 1.3737, 3.8854]], "species": ["Mg", "Ir", "Au", "Er"], "frac_coords": [[0.2500, 0.2500, 0.2500], [0.5000, 0.5000, 0.5000], [0.0000, 0.0000, 0.0000], [0.7500, 0.7500, 0.7500]]}


No. 11
{"formula": "ErNpIrAu", "functional": "PBE", "state": "optimized geometry", "e_tot_ev_per_cell": -31.29, "formation_enthalpy_0k_ev_per_atom": -0.4115, "total_magnetization_mub_per_cell": 4.066, "spacegroup": "No. 216", "vol_a3_per_atom": 21.48, "dos_ef_per_ev_cell": 10.66, "cell": [[-1.3132, -3.3958, -3.3584], [3.0758, -3.7274, -1.0865], [-1.0929, -4.6121, 1.4381]], "species": ["Np", "Ir", "Au", "Er"], "frac_coords": [[0.5000, 0.5000, 0.5000], [0.2500, 0.2500, 0.2500], [0.7500, 0.7500, 0.7500], [0.0000, 0.0000, 0.0000]]}


No. 12
{"formula": "ErPaIrAu", "functional": "PBE", "state": "optimized geometry", "e_tot_ev_per_cell": -28.57, "formation_enthalpy_0k_ev_per_atom": -0.5927, "total_magnetization_mub_per_cell": 0.530, "spacegroup": "No. 216", "vol_a3_per_atom": 21.73, "dos_ef_per_ev_cell": 4.99, "cell": [[-2.2873, -4.2370, 1.2415], [2.6481, -3.8476, 1.7053], [-0.3440, -1.3319, 4.7783]], "species": ["Er", "Pa", "Au", "Ir"], "frac_coords": [[0.0000, 0.0000, 0.0000], [0.5000, 0.5000, 0.5000], [0.7500, 0.7500, 0.7500], [0.2500, 0.2500, 0.2500]]}


No. 13
{"formula": "PrErIrAu", "functional": "PBE", "state": "optimized geometry", "e_tot_ev_per_cell": -24.36, "formation_enthalpy_0k_ev_per_atom": -0.7195, "total_magnetization_mub_per_cell": 0.000, "spacegroup": "No. 216", "vol_a3_per_atom": 22.79, "dos_ef_per_ev_cell": 3.09, "cell": [[-3.8798, 1.6488, 2.7830], [-2.5376, -3.2181, 2.9532], [0.4412, 0.2973, 5.0233]], "species": ["Pr", "Ir", "Au", "Er"], "frac_coords": [[0.0000, 0.0000, 0.0000], [0.7500, 0.7500, 0.7500], [0.2500, 0.2500, 0.2500], [0.5000, 0.5000, 0.5000]]}